No. 1
The following is a PBE-GGA calculation of a relaxed structure of Tb15Tm4Sc, from the Alexandria database.

Cell: 4.9977 4.9977 24.9232 Å, 90.00 90.00 90.00°
Last column: nearest neighbours and their distance in Å.
Element x y z (fractional)
Tb 0.0000 0.0000 0.0000  8 Tb 3.48, 4 Sc 3.53
Tb 0.0000 0.0000 0.1978  4 Tm 3.53, 8 Tb 3.54
Tb 0.0000 0.0000 0.3994  4 Tm 3.53, 8 Tb 3.54
Tb 0.0000 0.0000 0.6006  4 Tm 3.53, 8 Tb 3.54
Tb 0.0000 0.0000 0.8022  4 Tm 3.53, 8 Tb 3.54
Tb 0.0000 0.5000 0.0973  8 Tb 3.48-3.54, 2 Sc 3.48, 2 Tm 3.54
Tb 0.0000 0.5000 0.2986  8 Tb 3.53-3.54, 4 Tm 3.54
Tb 0.0000 0.5000 0.5000  8 Tb 3.53-3.54, 4 Tm 3.54
Tb 0.0000 0.5000 0.7014  8 Tb 3.53-3.54, 4 Tm 3.54
Tb 0.0000 0.5000 0.9027  8 Tb 3.48-3.54, 2 Sc 3.48, 2 Tm 3.54
Tb 0.5000 0.0000 0.0973  8 Tb 3.48-3.54, 2 Sc 3.48, 2 Tm 3.54
Tb 0.5000 0.0000 0.2986  8 Tb 3.53-3.54, 4 Tm 3.54
Tb 0.5000 0.0000 0.5000  8 Tb 3.53-3.54, 4 Tm 3.54
Tb 0.5000 0.0000 0.7014  8 Tb 3.53-3.54, 4 Tm 3.54
Tb 0.5000 0.0000 0.9027  8 Tb 3.48-3.54, 2 Sc 3.48, 2 Tm 3.54
Tm 0.5000 0.5000 0.1981  12 Tb 3.53-3.54
Tm 0.5000 0.5000 0.3994  12 Tb 3.53-3.54
Tm 0.5000 0.5000 0.6006  12 Tb 3.53-3.54
Tm 0.5000 0.5000 0.8019  12 Tb 3.53-3.54
Sc 0.5000 0.5000 0.0000  12 Tb 3.48-3.53

Calculated values
energy	-4.66	eV/atom
space group	No. 123
ΔE_f	0.44	eV per formula unit
ρ	8.3	g/cm3



No. 2
The following is a PBE-GGA calculation of a relaxed structure of La9ThMg2, from the Alexandria database.

Cell: 5.1691 5.1691 15.3245 Å, 90.00 90.00 90.00°
Last column: nearest neighbours and their distance in Å.
Element x y z (fractional)
La 0.0000 0.0000 0.0000  8 La 3.61, 4 Th 3.66
La 0.0000 0.0000 0.3373  8 La 3.59-3.70, 4 Mg 3.66
La 0.0000 0.0000 0.6627  8 La 3.59-3.70, 4 Mg 3.66
La 0.0000 0.5000 0.1645  8 La 3.61-3.70, 2 Th 3.61, 2 Mg 3.68
La 0.0000 0.5000 0.5000  8 La 3.59-3.66, 4 Mg 3.61
La 0.0000 0.5000 0.8355  8 La 3.61-3.70, 2 Th 3.61, 2 Mg 3.68
La 0.5000 0.0000 0.1645  8 La 3.61-3.70, 2 Th 3.61, 2 Mg 3.68
La 0.5000 0.0000 0.5000  8 La 3.59-3.66, 4 Mg 3.61
La 0.5000 0.0000 0.8355  8 La 3.61-3.70, 2 Th 3.61, 2 Mg 3.68
Th 0.5000 0.5000 0.0000  12 La 3.61-3.66
Mg 0.5000 0.5000 0.3356  12 La 3.61-3.68
Mg 0.5000 0.5000 0.6644  12 La 3.61-3.68

Calculated values
energy	-4.59	eV/atom
space group	No. 123
ΔE_f	-0.09	eV per formula unit
ρ	6.2	g/cm3



No. 3
The following is a PBE-GGA calculation of a relaxed structure of Sm2NpS4, from the Alexandria database.

Cell: 6.9045 6.9045 13.1913 Å, 90.00 90.00 147.11°
Last column: nearest neighbours and their distance in Å.
Element x y z (fractional)
Sm 0.1321 0.8679 0.5694  6 S 2.76-2.85
Sm 0.1321 0.8679 0.9306  6 S 2.76-2.85
Sm 0.8679 0.1321 0.0694  6 S 2.76-2.85
Sm 0.8679 0.1321 0.4306  6 S 2.76-2.85
Np 0.3777 0.6223 0.7500  6 S 2.78-2.89
Np 0.6223 0.3777 0.2500  6 S 2.78-2.89
S 0.0265 0.9735 0.7500  2 Sm 2.76, 2 Np 2.78
S 0.2249 0.7751 0.1256  3 Sm 2.82-2.85, 2 Np 2.89
S 0.2249 0.7751 0.3744  3 Sm 2.82-2.85, 2 Np 2.89
S 0.5000 0.5000 0.0000  4 Sm 2.78
S 0.5000 0.5000 0.5000  4 Sm 2.78
S 0.7751 0.2249 0.6256  3 Sm 2.82-2.85, 2 Np 2.89
S 0.7751 0.2249 0.8744  3 Sm 2.82-2.85, 2 Np 2.89
S 0.9735 0.0265 0.2500  2 Sm 2.76, 2 Np 2.78

Calculated values
energy	-7.34	eV/atom
formation energy from raw total energies	-1.788	eV per atom
space group	No. 63
ΔE to the lowest computed polymorph	5	meV per atom
ρ	6.5	g/cm3



No. 4
The following is a PBE-GGA calculation of a relaxed structure of Ac2TbDyP4, from the Alexandria database.

Cell: 7.3274 4.2328 7.3440 Å, 90.00 109.40 90.00°
Last column: nearest neighbours and their distance in Å.
Element x y z (fractional)
Ac 0.0000 0.0000 0.0000  6 P 3.09
Ac 0.5000 0.5000 0.0000  6 P 3.08-3.09
Tb 0.0000 0.5000 0.5000  6 P 2.91
Dy 0.5000 0.0000 0.5000  6 P 2.90
P 0.2431 0.0000 0.7274  1 Dy 2.90, 2 Tb 2.91, 3 Ac 3.09
P 0.2582 0.5000 0.2728  2 Dy 2.90, 1 Tb 2.91, 3 Ac 3.08-3.09
P 0.7418 0.5000 0.7272  2 Dy 2.90, 1 Tb 2.91, 3 Ac 3.08-3.09
P 0.7569 0.0000 0.2726  1 Dy 2.90, 2 Tb 2.91, 3 Ac 3.09

Calculated values
energy	-6.38	eV/atom
space group	No. 10
ΔE_f	-11.97	eV per formula unit
ρ	7.0	g/cm3



No. 5
The following is a PBE-GGA calculation of a relaxed structure of TaFeBr2, from the Alexandria database.

Cell: 5.8165 5.8165 10.0475 Å, 90.00 90.00 90.00°
Last column: nearest neighbours and their distance in Å.
Element x y z (fractional)
Ta 0.0000 0.0000 0.0000  4 Br 2.54
Ta 0.0000 0.5000 0.2500  4 Br 2.54
Ta 0.5000 0.0000 0.7500  4 Br 2.54
Ta 0.5000 0.5000 0.5000  4 Br 2.54
Fe 0.0000 0.0000 0.5000  4 Br 2.29
Fe 0.0000 0.5000 0.7500  4 Br 2.29
Fe 0.5000 0.0000 0.2500  4 Br 2.29
Fe 0.5000 0.5000 0.0000  4 Br 2.29
Br 0.2134 0.2500 0.6250  2 Fe 2.29, 2 Ta 2.54
Br 0.2500 0.7134 0.8750  2 Fe 2.29, 2 Ta 2.54
Br 0.2500 0.7866 0.3750  2 Fe 2.29, 2 Ta 2.54
Br 0.2866 0.2500 0.1250  2 Fe 2.29, 2 Ta 2.54
Br 0.7134 0.7500 0.1250  2 Fe 2.29, 2 Ta 2.54
Br 0.7500 0.2134 0.3750  2 Fe 2.29, 2 Ta 2.54
Br 0.7500 0.2866 0.8750  2 Fe 2.29, 2 Ta 2.54
Br 0.7866 0.7500 0.6250  2 Fe 2.29, 2 Ta 2.54

Calculated values
energy	-4.89	eV/atom
formation energy from raw total energies	1.025	eV per atom
space group	No. 122
ΔE to the lowest computed polymorph	1012	meV per atom
ρ	7.7	g/cm3



No. 6
The following is a PBE-GGA calculation of a relaxed structure of Y2Nb2O, from the Alexandria database.

Cell: 3.5952 3.5952 16.9366 Å, 90.00 90.00 90.00°
Last column: nearest neighbours and their distance in Å.
Element x y z (fractional)
Y 0.0000 0.0000 0.0922  4 O 2.98, 1 Y 3.12, 4 Nb 3.22
Y 0.0000 0.0000 0.9078  4 O 2.98, 1 Y 3.12, 4 Nb 3.22
Y 0.5000 0.5000 0.4078  4 O 2.98, 1 Y 3.12, 4 Nb 3.22
Y 0.5000 0.5000 0.5922  4 O 2.98, 1 Y 3.12, 4 Nb 3.22
Nb 0.0000 0.5000 0.2500  4 Nb 2.54
Nb 0.0000 0.5000 0.7500  4 Nb 2.54
Nb 0.5000 0.0000 0.2500  4 Nb 2.54
Nb 0.5000 0.0000 0.7500  4 Nb 2.54
O 0.0000 0.0000 0.5000  8 Y 2.98
O 0.5000 0.5000 0.0000  8 Y 2.98

Calculated values
energy	-7.77	eV/atom
formation energy from raw total energies	-0.165	eV per atom
space group	No. 139
ΔE to the lowest computed polymorph	153	meV per atom
ρ	5.8	g/cm3



No. 7
The following is a PBE-GGA calculation of a relaxed structure of Cs2NbTcCl6, from the Alexandria database.

Cell: 7.1874 7.1874 7.1874 Å, 120.06 120.06 89.90°
Last column: nearest neighbours and their distance in Å.
Element x y z (fractional)
Cs 0.2500 0.7500 0.5000  12 Cl 3.59
Cs 0.7500 0.2500 0.5000  12 Cl 3.59
Nb 0.0000 0.0000 0.0000  6 Cl 2.57-2.58
Tc 0.5000 0.5000 0.0000  6 Cl 2.50-2.51
Cl 0.2535 0.2535 0.0000  1 Tc 2.51, 1 Nb 2.58
Cl 0.2535 0.2535 0.5070  1 Tc 2.50, 1 Nb 2.57
Cl 0.2535 0.7465 0.0000  1 Tc 2.50, 1 Nb 2.57
Cl 0.7465 0.2535 0.0000  1 Tc 2.50, 1 Nb 2.57
Cl 0.7465 0.7465 0.4930  1 Tc 2.50, 1 Nb 2.57
Cl 0.7465 0.7465 0.0000  1 Tc 2.51, 1 Nb 2.58

Calculated values
energy	-4.34	eV/atom
formation energy from raw total energies	-1.017	eV per atom
space group	No. 139
ρ	4.2	g/cm3



No. 8
The following is a PBE-GGA calculation of a relaxed structure of Pm2Sm2Rh, from the Alexandria database.

Cell: 7.1124 7.1124 7.4383 Å, 102.49 102.49 115.53°
Last column: nearest neighbours and their distance in Å.
Element x y z (fractional)
Pm 0.1764 0.7299 0.7474  1 Rh 2.73
Pm 0.2701 0.8236 0.2526  1 Rh 2.73
Pm 0.7299 0.1764 0.7474  1 Rh 2.73
Pm 0.8236 0.2701 0.2526  1 Rh 2.73
Sm 0.2425 0.2425 0.6039  2 Rh 2.80
Sm 0.2712 0.2712 0.0999  2 Rh 3.15, 1 Sm 3.45
Sm 0.7288 0.7288 0.9001  2 Rh 3.15, 1 Sm 3.45
Sm 0.7575 0.7575 0.3961  2 Rh 2.80
Rh 0.3764 0.6236 0.5000  2 Pm 2.73, 2 Sm 2.80, 1 Rh 2.98
Rh 0.6236 0.3764 0.5000  2 Pm 2.73, 2 Sm 2.80, 1 Rh 2.98

Calculated values
energy	-5.53	eV/atom
space group	No. 12
ΔE_f	-1.35	eV per formula unit
ρ	7.4	g/cm3



No. 9
The following is a PBE-GGA calculation of a relaxed structure of RbPu2O5, from the Alexandria database.

Cell: 3.5325 5.7151 12.0869 Å, 90.00 90.00 90.00°
Last column: nearest neighbours and their distance in Å.
Element x y z (fractional)
Rb 0.0000 0.0000 0.0000  10 O 2.86-3.08
Rb 0.5000 0.5000 0.5000  10 O 2.86-3.08
Pu 0.0000 0.5000 0.1770  5 O 2.14-2.23
Pu 0.0000 0.5000 0.8230  5 O 2.14-2.23
Pu 0.5000 0.0000 0.3230  5 O 2.14-2.23
Pu 0.5000 0.0000 0.6770  5 O 2.14-2.23
O 0.0000 0.2371 0.3322  3 Pu 2.23-2.40
O 0.0000 0.2371 0.6678  3 Pu 2.23-2.40
O 0.0000 0.5000 0.0000  2 Pu 2.14
O 0.0000 0.7629 0.3322  3 Pu 2.23-2.40
O 0.0000 0.7629 0.6678  3 Pu 2.23-2.40
O 0.5000 0.0000 0.5000  2 Pu 2.14
O 0.5000 0.2629 0.1678  3 Pu 2.23-2.40
O 0.5000 0.2629 0.8322  3 Pu 2.23-2.40
O 0.5000 0.7371 0.1678  3 Pu 2.23-2.40
O 0.5000 0.7371 0.8322  3 Pu 2.23-2.40

Calculated values
energy	-9.46	eV/atom
formation energy from raw total energies	-2.662	eV per atom
space group	No. 71
ΔE to the lowest computed polymorph	0	meV per atom
ρ	8.9	g/cm3



No. 10
The following is a PBE-GGA calculation of a relaxed structure of CsK3Ca, from the Alexandria database.

Cell: 7.5423 7.5423 7.5423 Å, 90.00 90.00 90.00°
Last column: nearest neighbours and their distance in Å.
Element x y z (fractional)
Cs 0.0000 0.0000 0.0000  6 K 3.77
K 0.0000 0.0000 0.5000  2 Cs 3.77
K 0.0000 0.5000 0.0000  2 Cs 3.77
K 0.5000 0.0000 0.0000  2 Cs 3.77
Ca 0.5000 0.5000 0.5000  12 K 5.33

Calculated values
energy	-0.72	eV/atom
space group	No. 221
ΔE_f	2.55	eV per formula unit
ΔE to the lowest computed polymorph	232	meV per atom
ρ	1.1	g/cm3



No. 11
The following is a PBE-GGA calculation of a relaxed structure of TiCuTc, from the Alexandria database.

Cell: 2.9861 4.3566 6.8976 Å, 90.00 90.00 90.00°
Last column: nearest neighbours and their distance in Å.
Element x y z (fractional)
Ti 0.2500 0.2500 0.1550  2 Tc 2.54, 5 Cu 2.61-2.68
Ti 0.7500 0.7500 0.8450  2 Tc 2.54, 5 Cu 2.61-2.68
Cu 0.2500 0.2500 0.7773  5 Ti 2.61-2.68, 4 Tc 2.69
Cu 0.7500 0.7500 0.2227  5 Ti 2.61-2.68, 4 Tc 2.69
Tc 0.2500 0.7500 0.5476  2 Ti 2.54, 4 Cu 2.69, 4 Tc 2.72
Tc 0.7500 0.2500 0.4524  2 Ti 2.54, 4 Cu 2.69, 4 Tc 2.72

Calculated values
energy	-7.47	eV/atom
space group	No. 59
ΔE_f	-0.05	eV per formula unit
ρ	7.8	g/cm3



No. 12
The following is a PBE-GGA calculation of a relaxed structure of Rb2PaInTe5, from the Alexandria database.

Cell: 11.0666 11.0666 15.4138 Å, 90.00 90.00 156.21°
Last column: nearest neighbours and their distance in Å.
Element x y z (fractional)
Rb 0.1207 0.8793 0.5000  5 Te 3.67-3.91
Rb 0.1220 0.8780 0.1397  7 Te 3.64-4.04
Rb 0.8780 0.1220 0.6397  7 Te 3.64-4.04
Rb 0.8793 0.1207 0.0000  5 Te 3.67-3.91
Pa 0.2042 0.7958 0.8376  6 Te 2.85-3.15
Pa 0.7958 0.2042 0.3376  6 Te 2.85-3.15
In 0.4371 0.5629 0.2392  4 Te 2.70-2.96
In 0.5629 0.4371 0.7392  4 Te 2.70-2.96
Te 0.0595 0.9405 0.8568  2 In 2.92, 1 Pa 3.15
Te 0.2996 0.7004 0.4658  2 Pa 3.02
Te 0.3033 0.6967 0.2012  1 In 2.96, 2 Pa 3.11
Te 0.3352 0.6648 0.8211  1 Pa 2.85
Te 0.4969 0.5031 0.0857  1 In 2.70
Te 0.5031 0.4969 0.5857  1 In 2.70
Te 0.6648 0.3352 0.3211  1 Pa 2.85
Te 0.6967 0.3033 0.7012  1 In 2.96, 2 Pa 3.11
Te 0.7004 0.2996 0.9658  2 Pa 3.02
Te 0.9405 0.0595 0.3568  2 In 2.92, 1 Pa 3.15

Calculated values
energy	-4.12	eV/atom
formation energy from raw total energies	-0.800	eV per atom
space group	No. 36
ρ	5.0	g/cm3